No. 1
VASP calculation (PBE-GGA) on K2HIO after structural relaxation.

The value obtained for the density of states at the Fermi level is 0.00 states/eV per cell. The value obtained for the electronic total energy is -3.788 eV/atom. For the size of the total moment, the calculation gives 0.0 μB per formula unit.

Structure (CIF):
```
data_K2HIO
_chemical_formula_sum 'K2 H1 I1 O1'
_cell_length_a 5.440
_cell_length_b 5.440
_cell_length_c 4.896
_cell_angle_alpha 90.00
_cell_angle_beta 90.00
_cell_angle_gamma 90.00
_space_group_name_H-M_alt 'P 4 m m'
_space_group_IT_number 99
loop_
_space_group_symop_operation_xyz
'x,y,z'
'-y,x,z'
'-x,-y,z'
'y,-x,z'
'-x,y,z'
'y,x,z'
'x,-y,z'
'-y,-x,z'
loop_
_atom_site_label
_atom_site_type_symbol
_atom_site_fract_x
_atom_site_fract_y
_atom_site_fract_z
K1 K 0.000 0.500 0.000
H1 H 0.000 0.000 0.268
I1 I 0.500 0.500 0.509
O1 O 0.000 0.000 0.069
```


No. 2
VASP calculation (PBE-GGA) on DyRuSe after structural relaxation.

The value obtained for the density of states at the Fermi level is 14.81 states/eV per cell. The value obtained for the electronic total energy is -5.899 eV/atom. For the size of the total moment, the calculation gives 0.0 μB per formula unit. Its energy relative to the elements, uncorrected is -0.11 eV per atom.

Structure (CIF):
```
data_DyRuSe
_chemical_formula_sum 'Dy6 Ru6 Se6'
_cell_length_a 4.4388
_cell_length_b 4.4388
_cell_length_c 24.6370
_cell_angle_alpha 90.00
_cell_angle_beta 90.00
_cell_angle_gamma 120.00
_space_group_name_H-M_alt 'R -3 m'
_space_group_IT_number 166
_space_group_name_Hall '-R 3 2"'
loop_
_atom_site_label
_atom_site_type_symbol
_atom_site_fract_x
_atom_site_fract_y
_atom_site_fract_z
Dy1 Dy 0.0000 0.0000 0.0712
Ru1 Ru 0.0000 0.0000 0.1766
Se1 Se 0.0000 0.0000 0.3331
```


No. 3
VASP calculation (PBE-GGA) on CsZnIn3 after structural relaxation.

The value obtained for the density of states at the Fermi level is 4.75 states/eV per cell. The value obtained for the polymorph energy (0 for the lowest one) is 0.98 eV/f.u. The value obtained for the electronic total energy is -1.917 eV/atom. For the size of the total moment, the calculation gives 0.0 μB per formula unit.

Structure (CIF):
```
data_CsZnIn3
_chemical_formula_sum 'Cs1 Zn1 In3'
_cell_length_a 5.554
_cell_length_b 5.554
_cell_length_c 5.554
_cell_angle_alpha 90.00
_cell_angle_beta 90.00
_cell_angle_gamma 90.00
_space_group_name_H-M_alt 'P m -3 m'
_space_group_IT_number 221
_space_group_name_Hall '-P 4 2 3'
loop_
_atom_site_label
_atom_site_type_symbol
_atom_site_fract_x
_atom_site_fract_y
_atom_site_fract_z
Cs1 Cs 0.000 0.000 0.000
Zn1 Zn 0.500 0.500 0.500
In1 In 0.000 0.500 0.500
```


No. 4
VASP calculation (PBE-GGA) on GaP2I2 after structural relaxation.

The value obtained for the density of states at the Fermi level is 6.91 states/eV per cell. The value obtained for the polymorph energy (0 for the lowest one) is 0.00 eV/f.u. The value obtained for the electronic total energy is -3.107 eV/atom. For the size of the total moment, the calculation gives 0.0 μB per formula unit. Its energy relative to the elements, uncorrected is 0.28 eV per atom.

Structure (CIF):
```
data_GaP2I2
_chemical_formula_sum 'Ga2 P4 I4'
_cell_length_a 3.376
_cell_length_b 3.376
_cell_length_c 26.911
_cell_angle_alpha 90.00
_cell_angle_beta 90.00
_cell_angle_gamma 90.00
_space_group_name_H-M_alt 'I 4/m m m'
_space_group_IT_number 139
_space_group_name_Hall '-I 4 2'
loop_
_atom_site_label
_atom_site_type_symbol
_atom_site_fract_x
_atom_site_fract_y
_atom_site_fract_z
Ga1 Ga 0.000 0.000 0.000
P1 P 0.000 0.500 0.250
I1 I 0.000 0.000 0.412
```


No. 5
VASP calculation (PBE-GGA) on ZrPbSe after structural relaxation.

The value obtained for the density of states at the Fermi level is 1.83 states/eV per cell. The value obtained for the polymorph energy (0 for the lowest one) is 0.29 eV/f.u. The value obtained for the electronic total energy is -5.838 eV/atom. For the size of the total moment, the calculation gives 0.0 μB per formula unit. Its energy relative to the elements, uncorrected is -0.59 eV per atom.

Structure (CIF):
```
data_ZrPbSe
_chemical_formula_sum 'Zr1 Pb1 Se1'
_cell_length_a 3.5760
_cell_length_b 3.5760
_cell_length_c 6.9701
_cell_angle_alpha 90.00
_cell_angle_beta 90.00
_cell_angle_gamma 120.00
_space_group_name_H-M_alt 'P 3 m 1'
_space_group_IT_number 156
loop_
_space_group_symop_operation_xyz
'x,y,z'
'-y,x-y,z'
'-x+y,-x,z'
'-y,-x,z'
'-x+y,y,z'
'x,x-y,z'
loop_
_atom_site_label
_atom_site_type_symbol
_atom_site_fract_x
_atom_site_fract_y
_atom_site_fract_z
Zr1 Zr 0.0000 0.0000 0.0000
Pb1 Pb 0.6667 0.3333 0.3561
Se1 Se 0.3333 0.6667 0.7597
```


No. 6
VASP calculation (PBE-GGA) on Cu2ReRu after structural relaxation.

The value obtained for the density of states at the Fermi level is 2.76 states/eV per cell. The value obtained for the polymorph energy (0 for the lowest one) is 1.40 eV/f.u. The value obtained for the electronic total energy is -6.997 eV/atom. For the size of the total moment, the calculation gives 0.0 μB per formula unit.

Structure (CIF):
```
data_Cu2ReRu
_chemical_formula_sum 'Cu2 Re1 Ru1'
_cell_length_a 4.328
_cell_length_b 4.328
_cell_length_c 2.808
_cell_angle_alpha 90.00
_cell_angle_beta 90.00
_cell_angle_gamma 90.00
_space_group_name_H-M_alt 'P 4/m m m'
_space_group_IT_number 123
_space_group_name_Hall '-P 4 2'
loop_
_atom_site_label
_atom_site_type_symbol
_atom_site_fract_x
_atom_site_fract_y
_atom_site_fract_z
Cu1 Cu 0.000 0.500 0.000
Re1 Re 0.000 0.000 0.500
Ru1 Ru 0.500 0.500 0.500
```


No. 7
VASP calculation (PBE-GGA) on K2MgTl6 after structural relaxation.

The value obtained for the density of states at the Fermi level is 9.78 states/eV per cell. The value obtained for the polymorph energy (0 for the lowest one) is 0.00 eV/f.u. The value obtained for the electronic total energy is -2.060 eV/atom. For the size of the total moment, the calculation gives 0.0 μB per formula unit.

Structure (CIF):
```
data_K2MgTl6
_chemical_formula_sum 'K4 Mg2 Tl12'
_cell_length_a 12.922
_cell_length_b 6.794
_cell_length_c 6.803
_cell_angle_alpha 90.00
_cell_angle_beta 94.19
_cell_angle_gamma 90.00
_space_group_name_H-M_alt 'C 1 2/m 1'
_space_group_IT_number 12
loop_
_space_group_symop_operation_xyz
'x,y,z'
'-x,-y,-z'
'-x,y,-z'
'x,-y,z'
'x+1/2,y+1/2,z'
'-x+1/2,-y+1/2,-z'
'-x+1/2,y+1/2,-z'
'x+1/2,-y+1/2,z'
loop_
_atom_site_label
_atom_site_type_symbol
_atom_site_fract_x
_atom_site_fract_y
_atom_site_fract_z
K1 K 0.161 0.000 0.157
Mg1 Mg 0.000 0.500 0.000
Tl1 Tl 0.086 0.243 0.678
Tl2 Tl 0.187 0.500 0.335
```


No. 8
VASP calculation (PBE-GGA) on PmNdAlCd after structural relaxation.

The value obtained for the density of states at the Fermi level is 17.46 states/eV per cell. The value obtained for the polymorph energy (0 for the lowest one) is 0.06 eV/f.u. The value obtained for the electronic total energy is -3.878 eV/atom. For the size of the total moment, the calculation gives 0.0 μB per formula unit.

Structure (CIF):
```
data_PmNdAlCd
_chemical_formula_sum 'Pm4 Nd4 Al4 Cd4'
_cell_length_a 7.576
_cell_length_b 7.576
_cell_length_c 7.576
_cell_angle_alpha 90.00
_cell_angle_beta 90.00
_cell_angle_gamma 90.00
_space_group_name_H-M_alt 'F -4 3 m'
_space_group_IT_number 216
_space_group_name_Hall 'F -4 2 3'
loop_
_atom_site_label
_atom_site_type_symbol
_atom_site_fract_x
_atom_site_fract_y
_atom_site_fract_z
Pm1 Pm 0.000 0.000 0.000
Nd1 Nd 0.000 0.000 0.500
Al1 Al 0.250 0.250 0.750
Cd1 Cd 0.250 0.250 0.250
```


No. 9
VASP calculation (PBE-GGA) on YZr2Hg after structural relaxation.

The value obtained for the density of states at the Fermi level is 5.56 states/eV per cell. The value obtained for the electronic total energy is -5.941 eV/atom. For the size of the total moment, the calculation gives 0.0 μB per formula unit.

Structure (CIF):
```
data_YZr2Hg
_chemical_formula_sum 'Y1 Zr2 Hg1'
_cell_length_a 3.385
_cell_length_b 4.510
_cell_length_c 6.339
_cell_angle_alpha 90.00
_cell_angle_beta 90.00
_cell_angle_gamma 90.00
_space_group_name_H-M_alt 'P m m m'
_space_group_IT_number 47
loop_
_space_group_symop_operation_xyz
'x,y,z'
'-x,-y,-z'
'-x,-y,z'
'x,y,-z'
'x,-y,-z'
'-x,y,z'
'-x,y,-z'
'x,-y,z'
loop_
_atom_site_label
_atom_site_type_symbol
_atom_site_fract_x
_atom_site_fract_y
_atom_site_fract_z
Y1 Y 0.000 0.000 0.000
Zr1 Zr 0.500 0.500 0.253
Hg1 Hg 0.000 0.000 0.500
```


No. 10
VASP calculation (PBE-GGA) on BaYSb3 after structural relaxation.

The value obtained for the density of states at the Fermi level is 4.04 states/eV per cell. The value obtained for the polymorph energy (0 for the lowest one) is 0.00 eV/f.u. The value obtained for the electronic total energy is -4.599 eV/atom. For the size of the total moment, the calculation gives 0.0 μB per formula unit. Its energy relative to the elements, uncorrected is -0.45 eV per atom.

Structure (CIF):
```
data_BaYSb3
_chemical_formula_sum 'Ba1 Y1 Sb3'
_cell_length_a 5.803
_cell_length_b 5.803
_cell_length_c 5.803
_cell_angle_alpha 90.00
_cell_angle_beta 90.00
_cell_angle_gamma 90.00
_space_group_name_H-M_alt 'P m -3 m'
_space_group_IT_number 221
_space_group_name_Hall '-P 4 2 3'
loop_
_atom_site_label
_atom_site_type_symbol
_atom_site_fract_x
_atom_site_fract_y
_atom_site_fract_z
Ba1 Ba 0.000 0.000 0.000
Y1 Y 0.500 0.500 0.500
Sb1 Sb 0.000 0.500 0.500
```


Question: Which formula does entry 3 have?
Answer: CsZnIn3


Question: What is the size of the total moment in the sixth record?
Answer: 0.0 μB per formula unit